No. 1
A PBEsol-optimized structure of LaTi2In2. Source: Alexandria via LeMat-Bulk, functional meta-GGA SCAN.

abc: 4.498 4.498 11.604
angles: 90.00 90.00 90.00
Space group I4/mmm (No. 139)
One atom of each set of equivalent atoms:
La  0.000  0.000  0.000
Ti  0.000  0.000  0.399
In  0.000  0.500  0.250

Summary:
**Energy relative to the elements**: -0.30 eV per formula unit
**Crystal system**: tetragonal

---

No. 2
A PBEsol-optimized structure of La2TlIn. Source: Alexandria via LeMat-Bulk, functional meta-GGA SCAN.

abc: 5.059 5.059 9.062
angles: 90.00 90.00 90.00
Space group I4/mmm (No. 139)
One atom of each set of equivalent atoms:
La  0.000  0.500  0.250
Tl  0.000  0.000  0.000
In  0.000  0.000  0.500

Summary:
**Energy relative to the elements**: -2.59 eV per formula unit
**Crystal system**: tetragonal

---

No. 3
A PBEsol-optimized structure of LaTl2In. Source: Alexandria via LeMat-Bulk, functional meta-GGA SCAN.

abc: 4.767 4.767 4.723
angles: 90.00 90.00 90.00
Space group P4/mmm (No. 123)
One atom of each set of equivalent atoms:
La  0.000  0.000  0.000
Tl  0.000  0.500  0.500
In  0.500  0.500  0.000

Summary:
**Energy relative to the elements**: -2.04 eV per formula unit
**Crystal system**: tetragonal

---

No. 4
A PBEsol-optimized structure of La2TlIn. Source: Alexandria via LeMat-Bulk, functional meta-GGA SCAN.

abc: 3.572 3.572 9.091
angles: 90.00 90.00 90.00
Space group P4/mmm (No. 123)
One atom of each set of equivalent atoms:
La  0.000  0.000  0.248
Tl  0.500  0.500  0.500
In  0.500  0.500  0.000

Summary:
**Energy relative to the elements**: -2.61 eV per formula unit
**Crystal system**: tetragonal

---

No. 5
A PBEsol-optimized structure of La2TlIn. Source: Alexandria via LeMat-Bulk, functional meta-GGA SCAN.

abc: 4.294 5.021 10.710
angles: 90.00 90.00 90.00
Space group Imm2 (No. 44)
One atom of each set of equivalent atoms:
La  0.000  0.000  0.000
La  0.000  0.500  0.227
Tl  0.000  0.000  0.462
In  0.000  0.500  0.767

Summary:
**Energy relative to the elements**: -2.57 eV per formula unit
**Crystal system**: orthorhombic

---

No. 6
A PBEsol-optimized structure of La2TlIn. Source: Alexandria via LeMat-Bulk, functional meta-GGA SCAN.

abc: 4.394 5.033 5.208
angles: 90.00 90.00 90.00
Space group Pmm2 (No. 25)
One atom of each set of equivalent atoms:
La  0.000  0.000  0.000
La  0.000  0.500  0.432
Tl  0.500  0.500  0.921
In  0.500  0.000  0.511

Summary:
**Energy relative to the elements**: -2.65 eV per formula unit
**Crystal system**: orthorhombic

---

No. 7
A PBEsol-optimized structure of La2TlIn. Source: Alexandria via LeMat-Bulk, functional meta-GGA SCAN.

abc: 7.801 7.801 7.801
angles: 90.00 90.00 90.00
Space group Fm-3m (No. 225)
One atom of each set of equivalent atoms:
La  0.250  0.250  0.250
Tl  0.000  0.000  0.000
In  0.000  0.000  0.500

Summary:
**Energy relative to the elements**: -2.66 eV per formula unit
**Crystal system**: cubic

---

No. 8
A PBEsol-optimized structure of La2TlIn. Source: Alexandria via LeMat-Bulk, functional meta-GGA SCAN.

abc: 3.705 4.707 6.702
angles: 90.00 90.00 90.00
Space group Pmm2 (No. 25)
One atom of each set of equivalent atoms:
La  0.000  0.000  0.000
La  0.500  0.500  0.258
Tl  0.000  0.000  0.508
In  0.500  0.500  0.758

Summary:
**Energy relative to the elements**: -1.34 eV per formula unit
**Crystal system**: orthorhombic

---

No. 9
A PBEsol-optimized structure of La2TlIn. Source: Alexandria via LeMat-Bulk, functional meta-GGA SCAN.

abc: 3.547 4.538 7.206
angles: 90.00 90.00 90.00
Space group Pmmm (No. 47)
One atom of each set of equivalent atoms:
La  0.000  0.000  0.248
Tl  0.500  0.500  0.500
In  0.500  0.500  0.000

Summary:
**Energy relative to the elements**: -2.60 eV per formula unit
**Crystal system**: orthorhombic

---

No. 10
A PBEsol-optimized structure of La2TlIn. Source: Alexandria via LeMat-Bulk, functional meta-GGA SCAN.

abc: 7.155 9.107 3.558
angles: 90.00 90.00 90.00
Space group Cmmm (No. 65)
One atom of each set of equivalent atoms:
La  0.250  0.250  0.000
Tl  0.000  0.000  0.500
In  0.000  0.500  0.500

Summary:
**Energy relative to the elements**: -2.59 eV per formula unit
**Crystal system**: orthorhombic

---

No. 11
A PBEsol-optimized structure of LaTl2In. Source: Alexandria via LeMat-Bulk, functional meta-GGA SCAN.

abc: 4.763 4.763 9.599
angles: 90.00 90.00 90.00
Space group I4/mmm (No. 139)
One atom of each set of equivalent atoms:
La  0.000  0.000  0.000
Tl  0.000  0.500  0.250
In  0.000  0.000  0.500

Summary:
**Energy relative to the elements**: -1.65 eV per formula unit
**Crystal system**: tetragonal

---

No. 12
A PBEsol-optimized structure of La2TlIn. Source: Alexandria via LeMat-Bulk, functional meta-GGA SCAN.

abc: 3.8603 3.8603 29.6758
angles: 90.00 90.00 120.00
Space group R-3m (No. 166, hexagonal axes)
One atom of each set of equivalent atoms:
La  0.0000  0.0000  0.2494
Tl  0.0000  0.0000  0.0000
In  0.0000  0.0000  0.5000

Summary:
**Energy relative to the elements**: -1.74 eV per formula unit
**Crystal system**: trigonal

---

No. 13
A PBEsol-optimized structure of LaTl2In. Source: Alexandria via LeMat-Bulk, functional meta-GGA SCAN.

abc: 4.694 4.694 9.931
angles: 90.00 90.00 90.00
Space group I-4m2 (No. 119)
One atom of each set of equivalent atoms:
La  0.000  0.000  0.000
Tl  0.000  0.000  0.500
Tl  0.000  0.500  0.250
In  0.000  0.500  0.750

Summary:
**Energy relative to the elements**: -1.67 eV per formula unit
**Crystal system**: tetragonal

---

No. 14
A PBEsol-optimized structure of La2Tl2In. Source: Alexandria via LeMat-Bulk, functional meta-GGA SCAN.

abc: 7.833 7.833 4.794
angles: 90.00 90.00 90.00
Space group P4/mbm (No. 127)
One atom of each set of equivalent atoms:
La  0.170  0.330  0.000
Tl  0.134  0.634  0.500
In  0.000  0.000  0.500

Summary:
**Energy relative to the elements**: -3.19 eV per formula unit
**Crystal system**: tetragonal

---

No. 15
A PBEsol-optimized structure of LaInW. Source: Alexandria via LeMat-Bulk, functional meta-GGA SCAN.

abc: 6.673 6.673 6.673
angles: 90.00 90.00 90.00
Space group F-43m (No. 216)
One atom of each set of equivalent atoms:
La  0.000  0.000  0.000
In  0.000  0.000  0.500
W  0.250  0.250  0.250

Summary:
**Energy relative to the elements**: 2.56 eV per formula unit
**Crystal system**: cubic

---

No. 16
A PBEsol-optimized structure of LaY2In. Source: Alexandria via LeMat-Bulk, functional meta-GGA SCAN.

abc: 3.862 5.289 11.603
angles: 90.00 90.00 90.00
Space group Imm2 (No. 44)
One atom of each set of equivalent atoms:
La  0.000  0.000  0.000
Y  0.000  0.000  0.444
Y  0.000  0.500  0.219
In  0.000  0.500  0.732

Summary:
**Energy relative to the elements**: -1.33 eV per formula unit
**Crystal system**: orthorhombic

---

No. 17
A PBEsol-optimized structure of La2YIn. Source: Alexandria via LeMat-Bulk, functional meta-GGA SCAN.

abc: 3.548 4.610 7.099
angles: 90.00 90.00 90.00
Space group Pmm2 (No. 25)
One atom of each set of equivalent atoms:
La  0.000  0.000  0.000
La  0.500  0.500  0.243
Y  0.000  0.000  0.532
In  0.500  0.500  0.743

Summary:
**Energy relative to the elements**: -1.28 eV per formula unit
**Crystal system**: orthorhombic

---

No. 18
A PBEsol-optimized structure of LaY2In. Source: Alexandria via LeMat-Bulk, functional meta-GGA SCAN.

abc: 3.526 3.526 9.558
angles: 90.00 90.00 90.00
Space group P4mm (No. 99)
One atom of each set of equivalent atoms:
La  0.000  0.000  0.000
Y  0.000  0.000  0.548
Y  0.500  0.500  0.287
In  0.500  0.500  0.763

Summary:
**Energy relative to the elements**: -1.14 eV per formula unit
**Crystal system**: tetragonal

---

No. 19
A PBEsol-optimized structure of LaY2In. Source: Alexandria via LeMat-Bulk, functional meta-GGA SCAN.

abc: 3.607 4.697 6.840
angles: 90.00 90.00 90.00
Space group Pmm2 (No. 25)
One atom of each set of equivalent atoms:
La  0.000  0.000  0.000
Y  0.000  0.000  0.525
Y  0.500  0.500  0.265
In  0.500  0.500  0.751

Summary:
**Energy relative to the elements**: -1.18 eV per formula unit
**Crystal system**: orthorhombic

---

No. 20
A PBEsol-optimized structure of LaY2In. Source: Alexandria via LeMat-Bulk, functional meta-GGA SCAN.

abc: 3.803 5.355 5.700
angles: 90.00 90.00 90.00
Space group Pmmm (No. 47)
One atom of each set of equivalent atoms:
La  0.000  0.000  0.000
Y  0.000  0.500  0.500
Y  0.500  0.500  0.000
In  0.500  0.000  0.500

Summary:
**Energy relative to the elements**: -1.04 eV per formula unit
**Crystal system**: orthorhombic

---

No. 21
A PBEsol-optimized structure of LaYIn. Source: Alexandria via LeMat-Bulk, functional meta-GGA SCAN.

abc: 7.205 7.205 7.205
angles: 90.00 90.00 90.00
Space group F-43m (No. 216)
One atom of each set of equivalent atoms:
La  0.000  0.000  0.000
Y  0.250  0.250  0.750
In  0.000  0.000  0.500

Summary:
**Energy relative to the elements**: 0.39 eV per formula unit
**Crystal system**: cubic

---

No. 22
A PBEsol-optimized structure of La2YIn. Source: Alexandria via LeMat-Bulk, functional meta-GGA SCAN.

abc: 4.784 4.784 10.238
angles: 90.00 90.00 90.00
Space group I4/mmm (No. 139)
One atom of each set of equivalent atoms:
La  0.000  0.500  0.250
Y  0.000  0.000  0.000
In  0.000  0.000  0.500

Summary:
**Energy relative to the elements**: -1.51 eV per formula unit
**Crystal system**: tetragonal

---

No. 23
A PBEsol-optimized structure of La2YIn. Source: Alexandria via LeMat-Bulk, functional meta-GGA SCAN.

abc: 4.796 4.796 5.103
angles: 90.00 90.00 90.00
Space group P4/mmm (No. 123)
One atom of each set of equivalent atoms:
La  0.000  0.500  0.000
Y  0.000  0.000  0.500
In  0.500  0.500  0.500

Summary:
**Energy relative to the elements**: -1.57 eV per formula unit
**Crystal system**: tetragonal

---

No. 24
A PBEsol-optimized structure of LaY2In. Source: Alexandria via LeMat-Bulk, functional meta-GGA SCAN.

abc: 3.585 3.585 8.982
angles: 90.00 90.00 90.00
Space group P4/mmm (No. 123)
One atom of each set of equivalent atoms:
La  0.000  0.000  0.000
Y  0.500  0.500  0.279
In  0.000  0.000  0.500

Summary:
**Energy relative to the elements**: -1.35 eV per formula unit
**Crystal system**: tetragonal

---

No. 25
A PBEsol-optimized structure of La2YIn. Source: Alexandria via LeMat-Bulk, functional meta-GGA SCAN.

abc: 3.643 3.643 9.055
angles: 90.00 90.00 90.00
Space group P4mm (No. 99)
One atom of each set of equivalent atoms:
La  0.000  0.000  0.000
La  0.500  0.500  0.280
Y  0.000  0.000  0.549
In  0.500  0.500  0.759

Summary:
**Energy relative to the elements**: -1.28 eV per formula unit
**Crystal system**: tetragonal

---

No. 26
A PBEsol-optimized structure of LaY2In. Source: Alexandria via LeMat-Bulk, functional meta-GGA SCAN.

abc: 4.830 4.830 9.792
angles: 90.00 90.00 90.00
Space group I4/mmm (No. 139)
One atom of each set of equivalent atoms:
La  0.000  0.000  0.000
Y  0.000  0.500  0.250
In  0.000  0.000  0.500

Summary:
**Energy relative to the elements**: -1.15 eV per formula unit
**Crystal system**: tetragonal

---

No. 27
A PBEsol-optimized structure of La2YIn. Source: Alexandria via LeMat-Bulk, functional meta-GGA SCAN.

abc: 3.714 4.709 6.958
angles: 90.00 90.00 90.00
Space group Pmmm (No. 47)
One atom of each set of equivalent atoms:
La  0.000  0.000  0.231
Y  0.500  0.500  0.500
In  0.500  0.500  0.000

Summary:
**Energy relative to the elements**: -1.25 eV per formula unit
**Crystal system**: orthorhombic

---

No. 28
A PBEsol-optimized structure of LaY2In. Source: Alexandria via LeMat-Bulk, functional meta-GGA SCAN.

abc: 4.751 4.751 9.997
angles: 90.00 90.00 90.00
Space group I-4m2 (No. 119)
One atom of each set of equivalent atoms:
La  0.000  0.000  0.000
Y  0.000  0.000  0.500
Y  0.000  0.500  0.250
In  0.000  0.500  0.750

Summary:
**Energy relative to the elements**: -1.36 eV per formula unit
**Crystal system**: tetragonal

---

No. 29
A PBEsol-optimized structure of LaY2In. Source: Alexandria via LeMat-Bulk, functional meta-GGA SCAN.

abc: 3.857 5.504 11.299
angles: 90.00 90.00 90.00
Space group Immm (No. 71)
One atom of each set of equivalent atoms:
La  0.000  0.000  0.000
Y  0.000  0.500  0.221
In  0.000  0.000  0.500

Summary:
**Energy relative to the elements**: -1.36 eV per formula unit
**Crystal system**: orthorhombic

---

No. 30
A PBEsol-optimized structure of LaYIn3. Source: Alexandria via LeMat-Bulk, functional meta-GGA SCAN.

abc: 5.518 5.518 5.518
angles: 90.00 90.00 90.00
Space group Pm-3m (No. 221)
One atom of each set of equivalent atoms:
La  0.000  0.000  0.000
Y  0.500  0.500  0.500
In  0.000  0.500  0.500

Summary:
**Energy relative to the elements**: 0.30 eV per formula unit
**Crystal system**: cubic